No. 1
Density functional theory data (PBE-GGA) for crystalline Pr4AgCI2 at its relaxed geometry.

Cell: 4.055 7.725 8.086 Å, 106.16 90.00 90.00°
Fractional positions:
I  0.000  0.500  0.500
Pr  0.000  0.692  0.178
Ag  0.000  0.000  0.000
Pr  0.500  0.715  0.809
I  0.500  0.000  0.500
C  0.500  0.500  0.000
Pr  0.000  0.308  0.822
Pr  0.500  0.285  0.191

Values from the calculation:
SG	P2/m, No. 10

***

No. 2
Density functional theory data (PBE-GGA) for crystalline AsOs2Se at its relaxed geometry.

Cell: 2.853 2.853 10.158 Å, 90.00 90.00 121.03°
Fractional positions:
Os  0.000  0.000  0.014
Se  0.000  0.000  0.451
As  0.500  0.500  0.801
Os  0.500  0.500  0.234

Values from the calculation:
SG	Cmm2, No. 35

***

no.,M_tot (μB/f.u.),raw formation energy (eV per atom)
1,0.00,-0.544
2,0.00,0.619